# TaFeReSb

A relaxed TaFeReSb crystal (PBE-GGA, the Open Quantum Materials Database).

a = 4.478 Å, b = 4.478 Å, c = 4.478 Å
α = 60.00°, β = 60.00°, γ = 60.00°
Fractional coordinates of all 4 atoms:
1 Fe 0.750 0.750 0.750
2 Re 0.250 0.250 0.250
3 Sb 0.000 0.000 0.000
4 Ta 0.500 0.500 0.500

## Properties
Total magnetic moment, μB/atom: 0.24
Offset from the most stable computed form, eV/f.u.: 0.000
SG: F-43m, No. 216

=====

# FeReSbW

A relaxed FeReSbW crystal (PBE-GGA, the Open Quantum Materials Database).

a = 4.453 Å, b = 4.453 Å, c = 4.453 Å
α = 60.00°, β = 60.00°, γ = 60.00°
Fractional coordinates of all 4 atoms:
1 Fe 0.750 0.750 0.750
2 Re 0.250 0.250 0.250
3 Sb 0.000 0.000 0.000
4 W 0.500 0.500 0.500

## Properties
Total magnetic moment, μB/atom: 0.51
Offset from the most stable computed form, eV/f.u.: 0.000
SG: F-43m, No. 216

=====

# YFeReSb

A relaxed YFeReSb crystal (PBE-GGA, the Open Quantum Materials Database).

a = 4.634 Å, b = 4.634 Å, c = 4.634 Å
α = 60.00°, β = 60.00°, γ = 60.00°
Fractional coordinates of all 4 atoms:
1 Fe 0.750 0.750 0.750
2 Re 0.250 0.250 0.250
3 Sb 0.000 0.000 0.000
4 Y 0.500 0.500 0.500

## Properties
Total magnetic moment, μB/atom: 0.24
Offset from the most stable computed form, eV/f.u.: 0.000
SG: F-43m, No. 216

=====

# YFeReSb

A relaxed YFeReSb crystal (PBE-GGA, the Open Quantum Materials Database).

a = 4.764 Å, b = 4.764 Å, c = 4.764 Å
α = 60.00°, β = 60.00°, γ = 60.00°
Fractional coordinates of all 4 atoms:
1 Fe 0.750 0.750 0.750
2 Re 0.500 0.500 0.500
3 Sb 0.000 0.000 0.000
4 Y 0.250 0.250 0.250

## Properties
Total magnetic moment, μB/atom: 1.07
Offset from the most stable computed form, eV/f.u.: 0.853
SG: F-43m, No. 216